The following is a PBE calculation of a geometry-optimized Mg2ZnH structure, from Alexandria via LeMat-Bulk.

Calculated values
Space-group type   R-3m, No. 166
Energy   -7.70 eV/cell
Density   3.16 g/cm³
Excess energy over the best structure of this formula in the dataset   0.0 kJ/mol of atoms

Lattice parameters (Å, degrees): 3.2130 3.2130 7.0205 76.77 76.77 60.00
Fractional coordinates of all 4 atoms:
1 H 0.0000 0.0000 0.0000
2 Zn 0.5000 0.5000 0.5000
3 Mg 0.2690 0.2690 0.1930
4 Mg 0.7310 0.7310 0.8070